1.
{"formula": "CaErCuHg", "functional": "PBE-GGA", "state": "relaxed", "ef_kj_per_mol_atoms": -28.1, "density_g_cm3": 8.27, "magnetic_moment_mub_per_fu": 0.000, "dos_ef_per_ev_atom": 0.6783, "e_tot_ev_per_atom": -3.032, "lattice_angstrom": [[0.0000, 3.6171, 3.6171], [3.6171, 0.0000, 3.6171], [3.6171, 3.6171, 0.0000]], "species": ["Ca", "Er", "Cu", "Hg"], "frac_coords": [[0.0000, 0.0000, 0.0000], [0.5000, 0.5000, 0.5000], [0.7500, 0.7500, 0.7500], [0.2500, 0.2500, 0.2500]]}

2.
{"formula": "CaErInCu", "functional": "PBE-GGA", "state": "relaxed", "ef_kj_per_mol_atoms": -25.1, "density_g_cm3": 6.54, "magnetic_moment_mub_per_fu": 0.000, "dos_ef_per_ev_atom": 0.8867, "e_tot_ev_per_atom": -3.610, "lattice_angstrom": [[0.0000, 3.6578, 3.6578], [3.6578, 0.0000, 3.6578], [3.6578, 3.6578, 0.0000]], "species": ["Ca", "Er", "In", "Cu"], "frac_coords": [[0.0000, 0.0000, 0.0000], [0.5000, 0.5000, 0.5000], [0.7500, 0.7500, 0.7500], [0.2500, 0.2500, 0.2500]]}

3.
{"formula": "LiCaErCu", "functional": "PBE-GGA", "state": "relaxed", "ef_kj_per_mol_atoms": 1.4, "density_g_cm3": 5.01, "magnetic_moment_mub_per_fu": 0.000, "dos_ef_per_ev_atom": 0.9620, "e_tot_ev_per_atom": -3.129, "lattice_angstrom": [[0.0000, 3.5839, 3.5839], [3.5839, 0.0000, 3.5839], [3.5839, 3.5839, 0.0000]], "species": ["Li", "Ca", "Er", "Cu"], "frac_coords": [[0.0000, 0.0000, 0.0000], [0.7500, 0.7500, 0.7500], [0.2500, 0.2500, 0.2500], [0.5000, 0.5000, 0.5000]]}